The following is a PBE calculation of crystalline PuSb4 at its relaxed geometry, from Alexandria via LeMat-Bulk.

Output
Calculated density in kg/m3: 6528
Formation energy without anion corrections in eV/atom: 0.655
SG: Pm-3m (221)

```
PuSb4
1.0
5.708 0.000 0.000
0.000 5.708 0.000
0.000 0.000 5.708
Pu Sb
1 4
Cartesian
0.000 0.000 0.000
0.000 0.000 2.854
0.000 2.854 0.000
2.854 0.000 0.000
2.854 2.854 2.854
```